RbDySnTe3 PBE-GGA optimized geometry; SG = Cmcm; energy above the most stable polymorph in this dataset = 0.726 eV per formula unit
1.0
2.1946 -8.6486 0.0000
2.1946 8.6486 0.0000
0.0000 0.0000 12.7795
Te Rb Dy Sn
6 2 2 2
direct
0.9865 0.0135 0.7500
0.6240 0.3760 0.5070
0.6240 0.3760 0.9930
0.0135 0.9865 0.2500
0.3760 0.6240 0.4930
0.3760 0.6240 0.0070
0.2904 0.7096 0.7500
0.7096 0.2904 0.2500
0.0000 0.0000 0.5000
0.0000 0.0000 0.0000
0.6019 0.3981 0.7500
0.3981 0.6019 0.2500

Gd3In3CuNi2 PBE-GGA optimized geometry; SG = P-62m; energy = -4.59 eV per atom
1.0
-6.6637 -1.7864 -2.9237
5.6500 -4.9139 -0.2736
-1.1036 -1.4586 3.4065
Cu In Gd Ni
1 3 3 2
direct
0.0000 0.0000 0.0000
0.2556 0.0000 0.5000
0.7444 0.7444 0.5000
0.0000 0.2556 0.5000
0.0000 0.5857 0.0000
0.4143 0.4143 0.0000
0.5857 0.0000 0.0000
0.6667 0.3333 0.5000
0.3333 0.6667 0.5000

PrNd2PdPt2Pb3 PBE-GGA optimized geometry; SG = Amm2; energy = -5.56 eV per atom
1.0
4.1366 0.0000 0.0000
0.0000 6.8194 3.9335
0.0000 -6.8194 3.9335
Pb Nd Pr Pt Pd
3 2 1 2 1
direct
0.0000 0.7447 0.0007
0.0000 0.2548 0.2548
0.0000 0.0007 0.7447
0.5000 0.4112 0.0000
0.5000 0.0000 0.4112
0.5000 0.5886 0.5886
0.0000 0.3324 0.6670
0.0000 0.6670 0.3324
0.5000 0.0007 0.0007

K2SbPt2 PBE-GGA optimized geometry; SG = C2/c; energy = -4.07 eV per atom
1.0
4.9486 -3.3385 0.0000
4.9486 3.3385 0.0000
-1.3971 0.0000 8.1325
Pt Sb K
4 2 4
direct
0.2711 0.9982 0.9982
0.7289 0.0018 0.0018
0.9982 0.2711 0.4982
0.0018 0.7289 0.5018
0.0832 0.9168 0.2500
0.9168 0.0832 0.7500
0.7577 0.5225 0.1411
0.4775 0.2423 0.3589
0.2423 0.4775 0.8589
0.5225 0.7577 0.6411

Repeat the first record exactly.
RbDySnTe3 PBE-GGA optimized geometry; SG = Cmcm; energy above the most stable polymorph in this dataset = 0.726 eV per formula unit
1.0
2.1946 -8.6486 0.0000
2.1946 8.6486 0.0000
0.0000 0.0000 12.7795
Te Rb Dy Sn
6 2 2 2
direct
0.9865 0.0135 0.7500
0.6240 0.3760 0.5070
0.6240 0.3760 0.9930
0.0135 0.9865 0.2500
0.3760 0.6240 0.4930
0.3760 0.6240 0.0070
0.2904 0.7096 0.7500
0.7096 0.2904 0.2500
0.0000 0.0000 0.5000
0.0000 0.0000 0.0000
0.6019 0.3981 0.7500
0.3981 0.6019 0.2500

Copy entry 1 word for word.
RbDySnTe3 PBE-GGA optimized geometry; SG = Cmcm; energy above the most stable polymorph in this dataset = 0.726 eV per formula unit
1.0
2.1946 -8.6486 0.0000
2.1946 8.6486 0.0000
0.0000 0.0000 12.7795
Te Rb Dy Sn
6 2 2 2
direct
0.9865 0.0135 0.7500
0.6240 0.3760 0.5070
0.6240 0.3760 0.9930
0.0135 0.9865 0.2500
0.3760 0.6240 0.4930
0.3760 0.6240 0.0070
0.2904 0.7096 0.7500
0.7096 0.2904 0.2500
0.0000 0.0000 0.5000
0.0000 0.0000 0.0000
0.6019 0.3981 0.7500
0.3981 0.6019 0.2500

What did the fourth record say?
K2SbPt2 PBE-GGA optimized geometry; SG = C2/c; energy = -4.07 eV per atom
1.0
4.9486 -3.3385 0.0000
4.9486 3.3385 0.0000
-1.3971 0.0000 8.1325
Pt Sb K
4 2 4
direct
0.2711 0.9982 0.9982
0.7289 0.0018 0.0018
0.9982 0.2711 0.4982
0.0018 0.7289 0.5018
0.0832 0.9168 0.2500
0.9168 0.0832 0.7500
0.7577 0.5225 0.1411
0.4775 0.2423 0.3589
0.2423 0.4775 0.8589
0.5225 0.7577 0.6411